DFT (PBE-GGA) results for a geometry-optimized Pm6Dy8Er structure.

Structure (POSCAR):
```
Pm6Dy8Er
1.0
5.9182 0.0000 0.0000
0.0000 8.8227 -5.0938
0.0000 0.0000 10.1875
Pm Dy Er
6 8 1
Direct
0.9925 0.7144 0.5605
0.0075 0.5605 0.8460
0.0075 0.1540 0.7144
0.0075 0.2856 0.4395
0.9925 0.8460 0.2856
0.9925 0.4395 0.1540
0.4869 0.6667 0.3333
0.5131 0.3333 0.6667
0.5091 0.3493 0.3244
0.5091 0.9751 0.6507
0.4909 0.0249 0.3493
0.5091 0.6756 0.0249
0.4909 0.6507 0.6756
0.4909 0.3244 0.9751
0.5000 0.0000 0.0000
```

Values from the calculation:
* energy relative to the elements: 319.9 meV per atom
* uncorrected energy: -4.339 eV/atom
* calculated volume: 35.46 Å³ per atom